Crystalline LiGe3Pb2Au12 at its relaxed geometry, computed with PBE.

Results
SG	R-3m (166)
raw total energy	-3.41	eV/atom
energy of formation	0.06	eV per atom

Lattice parameters (Å, degrees): 7.727 7.727 7.727 73.76 73.76 73.76
Element x y z (fractional)
1 Li 0.000 0.000 0.000
2 Ge 0.000 0.000 0.500
3 Ge 0.000 0.500 0.000
4 Ge 0.500 0.000 0.000
5 Pb 0.396 0.396 0.396
6 Pb 0.604 0.604 0.604
7 Au 0.156 0.156 0.641
8 Au 0.156 0.641 0.156
9 Au 0.159 0.688 0.688
10 Au 0.312 0.312 0.841
11 Au 0.312 0.841 0.312
12 Au 0.359 0.844 0.844
13 Au 0.641 0.156 0.156
14 Au 0.688 0.159 0.688
15 Au 0.688 0.688 0.159
16 Au 0.841 0.312 0.312
17 Au 0.844 0.359 0.844
18 Au 0.844 0.844 0.359